Record 1
Entry from the Alexandria database: a relaxed structure of DyTm4Sc15 (GGA-PBE).

a b c (Å): 4.6916 4.6916 23.4989
angles (deg): 90.00 90.00 90.00
Closest atoms and distances in Å follow each position.
Element x y z (fractional)
Dy 0.0000 0.0000 0.0000  12 Sc 3.32-3.33
Tm 0.0000 0.0000 0.2005  12 Sc 3.32
Tm 0.0000 0.0000 0.4003  12 Sc 3.32
Tm 0.0000 0.0000 0.5997  12 Sc 3.32
Tm 0.0000 0.0000 0.7995  12 Sc 3.32
Sc 0.0000 0.5000 0.1007  2 Tm 3.32, 8 Sc 3.32-3.33, 2 Dy 3.33
Sc 0.0000 0.5000 0.3005  8 Sc 3.31-3.32, 4 Tm 3.32
Sc 0.0000 0.5000 0.5000  4 Tm 3.32, 8 Sc 3.32
Sc 0.0000 0.5000 0.6995  8 Sc 3.31-3.32, 4 Tm 3.32
Sc 0.0000 0.5000 0.8993  2 Tm 3.32, 8 Sc 3.32-3.33, 2 Dy 3.33
Sc 0.5000 0.0000 0.1007  2 Tm 3.32, 8 Sc 3.32-3.33, 2 Dy 3.33
Sc 0.5000 0.0000 0.3005  8 Sc 3.31-3.32, 4 Tm 3.32
Sc 0.5000 0.0000 0.5000  4 Tm 3.32, 8 Sc 3.32
Sc 0.5000 0.0000 0.6995  8 Sc 3.31-3.32, 4 Tm 3.32
Sc 0.5000 0.0000 0.8993  2 Tm 3.32, 8 Sc 3.32-3.33, 2 Dy 3.33
Sc 0.5000 0.5000 0.0000  4 Dy 3.32, 8 Sc 3.33
Sc 0.5000 0.5000 0.2008  8 Sc 3.31-3.32, 4 Tm 3.32
Sc 0.5000 0.5000 0.4002  8 Sc 3.32, 4 Tm 3.32
Sc 0.5000 0.5000 0.5998  8 Sc 3.32, 4 Tm 3.32
Sc 0.5000 0.5000 0.7992  8 Sc 3.31-3.32, 4 Tm 3.32

**Energy of formation from the pure elements**: 56 meV/atom
**SG**: No. 123
**Calculated density**: 4.9 g/cm3

---

Record 2
Entry from the Alexandria database: a relaxed structure of NaCa2Cu2 (GGA-PBE).

a b c (Å): 5.5367 5.5367 8.8516
angles (deg): 90.00 90.00 90.00
Closest atoms and distances in Å follow each position.
Element x y z (fractional)
Na 0.0000 0.0000 0.0000  2 Cu 3.26, 8 Ca 3.54
Na 0.5000 0.5000 0.5000  2 Cu 3.26, 8 Ca 3.54
Ca 0.0000 0.5000 0.2500  4 Cu 2.96
Ca 0.0000 0.5000 0.7500  4 Cu 2.96
Ca 0.5000 0.0000 0.2500  4 Cu 2.96
Ca 0.5000 0.0000 0.7500  4 Cu 2.96
Cu 0.0000 0.0000 0.3681  1 Cu 2.34
Cu 0.0000 0.0000 0.6319  1 Cu 2.34
Cu 0.5000 0.5000 0.1319  1 Cu 2.34
Cu 0.5000 0.5000 0.8681  1 Cu 2.34

**Energy of formation from the pure elements**: 103 meV/atom
**SG**: No. 139
**Calculated density**: 2.8 g/cm3

---

Record 3
Entry from the Alexandria database: a relaxed structure of La4SbTe2As (GGA-PBE).

a b c (Å): 7.8598 4.5256 7.9131
angles (deg): 90.00 109.26 90.00
Closest atoms and distances in Å follow each position.
Element x y z (fractional)
La 0.2336 0.0000 0.2289  2 As 3.09, 1 Sb 3.19, 3 Te 3.25-3.34
La 0.2447 0.5000 0.7644  1 As 3.09, 2 Sb 3.19, 3 Te 3.25-3.34
La 0.7553 0.5000 0.2356  1 As 3.09, 2 Sb 3.19, 3 Te 3.25-3.34
La 0.7664 0.0000 0.7711  2 As 3.09, 1 Sb 3.19, 3 Te 3.25-3.34
Sb 0.5000 0.0000 0.0000  6 La 3.19
Te 0.0000 0.0000 0.5000  6 La 3.25
Te 0.5000 0.5000 0.5000  6 La 3.34
As 0.0000 0.5000 0.0000  6 La 3.09

**Formation energy from raw total energies**: -1.5506 eV/atom
**SG**: No. 10
**Calculated density**: 6.3 g/cm3

---

Record 4
Entry from the Alexandria database: a relaxed structure of Ni2PPt (GGA-PBE).

a b c (Å): 3.5072 6.6818 4.5255
angles (deg): 90.00 112.70 90.00
Closest atoms and distances in Å follow each position.
Element x y z (fractional)
Ni 0.1472 0.0547 0.2942  3 P 2.26-2.31
Ni 0.1472 0.4453 0.2942  3 P 2.26-2.31
Ni 0.8528 0.5547 0.7058  3 P 2.26-2.31
Ni 0.8528 0.9453 0.7058  3 P 2.26-2.31
P 0.2651 0.7500 0.5300  6 Ni 2.26-2.31, 3 Pt 2.41-2.49
P 0.7349 0.2500 0.4700  6 Ni 2.26-2.31, 3 Pt 2.41-2.49
Pt 0.4463 0.2500 0.8935  3 P 2.41-2.49
Pt 0.5537 0.7500 0.1065  3 P 2.41-2.49

**Energy of formation from the pure elements**: -442 meV/atom
**SG**: No. 11
**Calculated density**: 11.7 g/cm3

---

Record 5
Entry from the Alexandria database: a relaxed structure of NaLi2PrCl6 (GGA-PBE).

a b c (Å): 7.2870 7.2870 7.2870
angles (deg): 55.73 55.73 55.73
Closest atoms and distances in Å follow each position.
Element x y z (fractional)
Na 0.0000 0.0000 0.0000  6 Cl 2.80-2.90
Li 0.2070 0.2070 0.2070  6 Cl 2.51-2.81
Li 0.7067 0.7067 0.7067  6 Cl 2.53-2.78
Pr 0.5044 0.5044 0.5044  6 Cl 2.76-2.80
Cl 0.0783 0.4324 0.8113  2 Li 2.53-2.81, 1 Pr 2.76
Cl 0.3227 0.9290 0.5672  2 Li 2.51-2.78, 1 Pr 2.80, 1 Na 2.80
Cl 0.4324 0.8113 0.0783  2 Li 2.53-2.81, 1 Pr 2.76
Cl 0.5672 0.3227 0.9290  2 Li 2.51-2.78, 1 Pr 2.80, 1 Na 2.80
Cl 0.8113 0.0783 0.4324  2 Li 2.53-2.81, 1 Pr 2.76
Cl 0.9290 0.5672 0.3227  2 Li 2.51-2.78, 1 Pr 2.80, 1 Na 2.80

**Formation energy from raw total energies**: -1.9753 eV/atom
**SG**: No. 146
**Calculated density**: 2.6 g/cm3

---

Record 6
Entry from the Alexandria database: a relaxed structure of Cd2AgPb (GGA-PBE).

a b c (Å): 3.1995 3.1995 32.2841
angles (deg): 90.00 90.00 120.00
Closest atoms and distances in Å follow each position.
Element x y z (fractional)
Cd 0.0000 0.0000 0.2402  3 Ag 3.01, 6 Cd 3.20
Cd 0.0000 0.0000 0.7598  3 Ag 3.01, 6 Cd 3.20
Cd 0.3333 0.6667 0.4265  3 Ag 3.01, 6 Cd 3.20
Cd 0.3333 0.6667 0.9069  3 Ag 3.01, 6 Cd 3.20
Cd 0.6667 0.3333 0.0931  3 Ag 3.01, 6 Cd 3.20
Cd 0.6667 0.3333 0.5735  3 Ag 3.01, 6 Cd 3.20
Ag 0.0000 0.0000 0.5000  6 Cd 3.01, 6 Ag 3.20
Ag 0.3333 0.6667 0.1667  6 Cd 3.01, 6 Ag 3.20
Ag 0.6667 0.3333 0.8333  6 Cd 3.01, 6 Ag 3.20
Pb 0.0000 0.0000 0.0000  6 Pb 3.20, 6 Cd 3.53
Pb 0.3333 0.6667 0.6667  6 Pb 3.20, 6 Cd 3.53
Pb 0.6667 0.3333 0.3333  6 Pb 3.20, 6 Cd 3.53

**Energy of formation from the pure elements**: 43 meV/atom
**SG**: No. 166
**Calculated density**: 9.4 g/cm3

---

Number 1: total moment 0.000 μB/cell. Number 2: total moment 0.000 μB/cell. Number 3: total moment 0.000 μB/cell. Number 4: total moment 0.000 μB/cell. Number 5: total moment 0.000 μB/cell. Number 6: total moment 0.000 μB/cell.